No. 1
A geometry-optimized Zr4BePd structure, computed with PBE-GGA.

```
data_Zr4BePd
_space_group_name_H-M_alt 'P 4/m c c'
_space_group_IT_number 124
_space_group_name_Hall '-P 4 2c'
_cell_length_a 6.5660
_cell_length_b 6.5660
_cell_length_c 5.4009
_cell_angle_alpha 90.00
_cell_angle_beta 90.00
_cell_angle_gamma 90.00
loop_
_atom_site_label
_atom_site_type_symbol
_atom_site_fract_x
_atom_site_fract_y
_atom_site_fract_z
Zr1 Zr 0.1511 0.3302 0.0000
Be1 Be 0.0000 0.0000 0.2500
Pd1 Pd 0.5000 0.5000 0.2500
```

Properties
The calculation puts the magnetic moment at 0.00 Bohr magnetons per cell. As for the energy of formation: -144 kJ/mol of formula units. For the energy above the lowest structure with this stoichiometry, the calculation gives 15 meV/atom. The total DFT energy (no corrections) comes out at -7.434 eV/atom.

No. 2
A geometry-optimized LaBeTl2 structure, computed with PBE-GGA.

```
data_LaBeTl2
_space_group_name_H-M_alt 'I m m m'
_space_group_IT_number 71
_space_group_name_Hall '-I 2 2'
_cell_length_a 3.6344
_cell_length_b 5.1926
_cell_length_c 10.7409
_cell_angle_alpha 90.00
_cell_angle_beta 90.00
_cell_angle_gamma 90.00
loop_
_atom_site_label
_atom_site_type_symbol
_atom_site_fract_x
_atom_site_fract_y
_atom_site_fract_z
La1 La 0.0000 0.0000 0.0000
Be1 Be 0.0000 0.0000 0.5000
Tl1 Tl 0.0000 0.5000 0.2036
```

Properties
The calculation puts the magnetic moment at 0.00 Bohr magnetons per cell. As for the energy of formation: 49 kJ/mol of formula units. For the energy above the lowest structure with this stoichiometry, the calculation gives 141 meV/atom. The total DFT energy (no corrections) comes out at -3.219 eV/atom.